Below is K2CuAu2 after structural relaxation, with properties calculated at the GGA-PBE level.

Results
offset from the most stable computed form = 0 meV per atom
formation enthalpy at 0 K = -0.0418 eV per atom
uncorrected energy = -0.1919 Ry per atom
D(E_F) = 3.31 states/eV per cell
SG = P4/mbm, No. 127

Cell lengths 7.047, 7.047, 5.261 Å; angles 90.00, 90.00, 90.00 degrees
Sites, in units of the cell vectors:
K 0.170 0.330 0.000
K 0.330 0.830 0.000
K 0.670 0.170 0.000
K 0.830 0.670 0.000
Cu 0.000 0.000 0.500
Cu 0.500 0.500 0.500
Au 0.148 0.648 0.500
Au 0.352 0.148 0.500
Au 0.648 0.852 0.500
Au 0.852 0.352 0.500